20
Lattice="7.198 0.000 0.000 0.000 7.818 0.000 -1.507 0.000 10.206" Properties=species:S:1:pos:R:3 comment="NdEr3Os, relaxed, DFT PBE" ef_ev_per_atom=-0.109 space_group="P2_1/c (14)" polymorph_energy_ev_per_atom=0.000 pbc="T T T"
Nd 1.130 0.189 2.422
Nd 0.377 3.720 7.525
Nd 5.314 4.098 2.681
Nd 4.561 7.629 7.784
Er 0.629 5.431 0.283
Er -0.124 6.297 5.386
Er 0.923 7.816 8.717
Er 1.676 3.911 3.614
Er 2.020 1.163 5.847
Er 2.773 2.746 0.744
Er 2.918 5.072 9.462
Er 3.672 6.655 4.359
Er 4.769 0.002 1.489
Er 4.015 3.907 6.591
Er 5.816 1.522 4.819
Er 5.062 2.387 9.922
Os 3.018 5.579 1.675
Os 2.265 6.148 6.778
Os 3.426 1.670 3.428
Os 2.673 2.239 8.531